1.
DFT (PBE) results for a geometry-optimized Ac2HfCuSe5 structure.

space group = Cmc2_1
formation energy from raw total energies = -1.507 eV per atom
electronic total energy = -5.92 eV/atom

Unit cell a=4.143 b=9.250 c=12.289 alpha=90.00 beta=90.00 gamma=102.94
Fractional coordinates of all 18 atoms:
Se1 0.656 0.311 0.510
Se2 0.500 0.999 0.771
Ac1 0.881 0.761 0.200
Ac2 0.124 0.248 0.317
Ac3 0.119 0.239 0.700
Hf1 0.812 0.624 0.515
Se3 0.698 0.395 0.865
Se4 0.344 0.689 0.010
Se5 0.954 0.907 0.542
Cu1 0.429 0.858 0.441
Ac4 0.876 0.752 0.817
Se6 0.046 0.093 0.042
Cu2 0.571 0.142 0.941
Se7 0.295 0.590 0.663
Se8 0.705 0.410 0.163
Se9 0.500 0.001 0.271
Se10 0.302 0.605 0.365
Hf2 0.188 0.376 0.015



2.
DFT (PBE) results for a geometry-optimized Ac2HfCuSe6 structure.

space group = P2_1/c
formation energy from raw total energies = -1.403 eV per atom
electronic total energy = -5.72 eV/atom

Unit cell a=6.900 b=7.864 c=9.742 alpha=90.00 beta=88.69 gamma=90.00
Fractional coordinates of all 20 atoms:
Se1 0.173 0.194 0.047
Se2 0.819 0.825 0.549
Se3 0.827 0.806 0.953
Se4 0.894 0.517 0.264
Se5 0.327 0.694 0.453
Se6 0.673 0.306 0.547
Se7 0.181 0.175 0.451
Ac1 0.041 0.894 0.250
Hf1 0.000 0.500 0.000
Se8 0.106 0.483 0.736
Hf2 0.500 0.000 0.500
Ac2 0.541 0.606 0.750
Se9 0.606 0.017 0.236
Ac3 0.959 0.106 0.750
Se10 0.319 0.675 0.049
Se11 0.681 0.325 0.951
Cu1 0.000 0.500 0.500
Se12 0.394 0.983 0.764
Ac4 0.459 0.394 0.250
Cu2 0.500 0.000 0.000



3.
DFT (PBE) results for a geometry-optimized AcCu2Hg structure.

space group = P2_1/m
electronic total energy = -3.39 eV/atom
ΔH_f (0 K) = -0.2425 eV/atom

Unit cell a=4.433 b=4.380 c=9.636 alpha=84.19 beta=90.00 gamma=90.00
Fractional coordinates of all 8 atoms:
Cu1 0.750 0.255 0.499
Hg1 0.250 0.333 0.090
Ac1 0.750 0.808 0.259
Ac2 0.250 0.192 0.741
Cu2 0.750 0.725 0.622
Cu3 0.250 0.745 0.501
Hg2 0.750 0.667 0.910
Cu4 0.250 0.275 0.378



Which of these has the lowest electronic total energy?
Ac2HfCuSe5